A relaxed structure of Pr2EuPt, computed with GGA-PBE.

Results
- Energy relative to the lowest polymorph listed for this composition: 13.8 meV per atom
- D(E_F): 5.14 states/eV/cell
- Calculated formation energy: -181.1 kJ/mol of formula units
- Space group: No. 123

Cell and atoms, written as extended XYZ:
```
4
Lattice="3.720 0.000 0.000 0.000 3.720 0.000 0.000 0.000 9.240" Properties=species:S:1:pos:R:3 pbc="T T T"
Pr 0.000 0.000 1.679
Pr 0.000 0.000 7.561
Eu 1.860 1.860 4.620
Pt 1.860 1.860 0.000
```